# Tl2Hg

A relaxed Tl2Hg crystal (GGA-PBE, Alexandria via LeMat-Bulk).

abc: 8.920 8.920 5.294
angles: 90.00 90.00 154.96
Sites, in units of the cell vectors:
1 Tl 0.268 0.732 0.750
2 Hg 0.926 0.074 0.750
3 Tl 0.415 0.585 0.250
4 Hg 0.074 0.926 0.250
5 Tl 0.585 0.415 0.750
6 Tl 0.732 0.268 0.250

Summary:
- Total energy: -1.686 eV per atom
- Total magnetization: 0.00 μB/f.u.
- V: 178 Å³/cell
- Distance to the lowest polymorph of the same formula: 0 meV/atom
- E_form: -0.8 kJ per mole of atoms
- Symmetry: Cmcm, No. 63